# FeNF2

An optimized crystal structure of FeNF2 (PBE+U, Alexandria via LeMat-Bulk).

Summary:
- Fermi-level density of states (states/eV/f.u.) = 4.40
- crystal system = cubic
- space-group type = Fm-3m, No. 225
- raw total energy (eV per atom) = -4.3020

Cell lengths 3.8775, 3.8775, 3.8775 Å; angles 60.00, 60.00, 60.00 degrees
Closest atoms and distances in Å follow each position.
Fractional coordinates of all 4 atoms:
1 Fe 0.0000 0.0000 0.0000  8 F 2.37
2 N 0.5000 0.5000 0.5000  8 F 2.37
3 F 0.2500 0.2500 0.2500  4 Fe 2.37, 4 N 2.37
4 F 0.7500 0.7500 0.7500  4 Fe 2.37, 4 N 2.37

# FeNF2

An optimized crystal structure of FeNF2 (PBE+U, Alexandria via LeMat-Bulk).

Summary:
- Fermi-level density of states (states/eV/f.u.) = 0.00
- crystal system = triclinic
- space-group type = P-1, No. 2
- raw total energy (eV per atom) = -6.2016

Cell lengths 3.3632, 5.5854, 8.5437 Å; angles 108.48, 99.48, 90.03 degrees
Closest atoms and distances in Å follow each position.
Fractional coordinates of all 8 atoms:
1 Fe 0.2489 0.2485 0.4970  6 F 2.05-2.16
2 Fe 0.7511 0.7515 0.5030  6 F 2.05-2.16
3 N 0.4806 0.3951 0.9809  1 N 1.11
4 N 0.5194 0.6049 0.0191  1 N 1.11
5 F 0.2013 0.8639 0.3829  3 Fe 2.05-2.16
6 F 0.2992 0.6327 0.6189  3 Fe 2.06-2.15
7 F 0.7008 0.3673 0.3811  3 Fe 2.06-2.15
8 F 0.7987 0.1361 0.6171  3 Fe 2.05-2.16

# FeNF3

An optimized crystal structure of FeNF3 (PBE+U, Alexandria via LeMat-Bulk).

Summary:
- Fermi-level density of states (states/eV/f.u.) = 0.00
- crystal system = cubic
- space-group type = Pm-3m, No. 221
- raw total energy (eV per atom) = -4.7569

Cell lengths 3.9633, 3.9633, 3.9633 Å; angles 90.00, 90.00, 90.00 degrees
Closest atoms and distances in Å follow each position.
Fractional coordinates of all 5 atoms:
1 Fe 0.0000 0.0000 0.0000  6 F 1.98
2 N 0.5000 0.5000 0.5000  12 F 2.80
3 F 0.0000 0.0000 0.5000  2 Fe 1.98
4 F 0.0000 0.5000 0.0000  2 Fe 1.98
5 F 0.5000 0.0000 0.0000  2 Fe 1.98